The following is a DFT calculation (PBE) of a relaxed structure of Sr2Ge2Ru2C.

spin magnetization: 0.00 μB per formula unit
energy of formation from the pure elements: -0.447 eV per atom

Cell and atoms, written as POSCAR:
```
Sr2Ge2Ru2C
1.0
4.268 0.000 0.000
2.134 5.707 -0.493
2.134 1.629 5.807
Ge Sr Ru C
2 2 2 1
direct
0.178 0.381 0.262
0.822 0.619 0.738
0.562 0.180 0.696
0.438 0.820 0.304
0.809 0.300 0.081
0.191 0.700 0.919
0.000 0.000 0.000
```

=====

The following is a DFT calculation (PBE) of a relaxed structure of TcGe2RuC.

spin magnetization: 3.09 μB per formula unit
energy of formation from the pure elements: 1.285 eV per atom

Cell and atoms, written as POSCAR:
```
TcGe2RuC
1.0
-2.288 0.809 4.315
1.357 -3.319 1.341
4.024 2.331 1.697
Ge C Ru Tc
2 1 1 1
direct
0.500 0.000 0.000
0.000 0.000 0.500
0.000 0.500 0.000
0.000 0.000 0.000
0.500 0.500 0.500
```

=====

The following is a DFT calculation (PBE) of a relaxed structure of GeTeRuC2.

spin magnetization: 0.00 μB per formula unit
ΔE_f (raw): 2.2445 eV/atom

Cell and atoms, written as POSCAR:
```
GeTeRuC2
1.0
-0.759 3.703 0.352
-2.411 -1.038 5.720
3.423 0.555 1.544
Ge Te C Ru
1 1 2 1
direct
0.000 0.000 0.000
0.000 0.500 0.000
0.500 0.000 0.000
0.000 0.000 0.500
0.500 0.500 0.500
```

=====

The following is a DFT calculation (PBE) of a relaxed structure of ThGeRu2C.

spin magnetization: 0.00 μB per formula unit
energy of formation from the pure elements: -0.497 eV per atom

Cell and atoms, written as POSCAR:
```
ThGeRu2C
1.0
4.011 0.000 0.000
-2.006 5.652 0.000
0.000 0.000 7.326
Ru C Ge Th
4 2 2 2
direct
0.838 0.676 0.444
0.162 0.324 0.556
0.162 0.324 0.944
0.838 0.676 0.056
0.000 0.000 0.500
0.000 0.000 0.000
0.272 0.544 0.250
0.728 0.456 0.750
0.554 0.108 0.250
0.446 0.892 0.750
```

=====

The following is a DFT calculation (PBE) of a relaxed structure of TmGeRu2C.

spin magnetization: 0.00 μB per formula unit
energy of formation from the pure elements: -0.464 eV per atom

Cell and atoms, written as POSCAR:
```
TmGeRu2C
1.0
-0.539 -0.357 3.753
-5.227 -0.636 -2.744
1.145 -7.178 -0.518
C Ru Ge Tm
2 4 2 2
direct
0.000 0.000 0.500
0.000 0.000 0.000
0.839 0.679 0.056
0.839 0.679 0.444
0.161 0.321 0.944
0.161 0.321 0.556
0.264 0.529 0.250
0.736 0.471 0.750
0.456 0.913 0.750
0.544 0.087 0.250
```

=====

The following is a DFT calculation (PBE) of a relaxed structure of U2Ge2Ru4C.

spin magnetization: 0.00 μB per formula unit
energy of formation from the pure elements: -0.057 eV per atom

Cell and atoms, written as POSCAR:
```
U2Ge2Ru4C
1.0
5.849 -0.028 -0.040
-2.832 5.117 0.040
-2.832 -1.760 4.805
Ru U C Ge
4 2 1 2
direct
0.000 0.746 0.254
0.492 0.746 0.746
0.508 0.254 0.254
0.000 0.254 0.746
0.000 0.278 0.278
0.000 0.722 0.722
0.000 0.000 0.000
0.500 0.750 0.250
0.500 0.250 0.750
```

=====

The following is a DFT calculation (PBE) of a relaxed structure of GeC2S.

relative energy among the computed polymorphs: 0 meV per atom
spin magnetization: 0.00 μB per formula unit
ΔE_f (raw): 1.4721 eV/atom

Cell and atoms, written as POSCAR:
```
GeC2S
1.0
4.371 0.000 0.000
0.000 4.371 0.000
2.185 2.185 5.094
Ge C S
2 4 2
direct
0.750 0.250 0.500
0.000 0.000 0.000
0.375 0.385 0.750
0.875 0.865 0.750
0.135 0.625 0.250
0.615 0.125 0.250
0.500 0.500 0.000
0.250 0.750 0.500
```

=====

The following is a DFT calculation (PBE) of a relaxed structure of Ge3CS.

relative energy among the computed polymorphs: 812 meV per atom
spin magnetization: 0.00 μB per formula unit
ΔE_f (raw): 1.8023 eV/atom

Cell and atoms, written as POSCAR:
```
Ge3CS
1.0
4.858 0.000 0.000
0.000 4.858 0.000
0.000 0.000 4.858
Ge S C
3 1 1
direct
0.000 0.500 0.000
0.000 0.000 0.500
0.500 0.000 0.000
0.000 0.000 0.000
0.500 0.500 0.500
```

=====

The following is a DFT calculation (PBE) of a relaxed structure of Ge2CS2.

relative energy among the computed polymorphs: 172 meV per atom
spin magnetization: 0.54 μB per formula unit
ΔE_f (raw): 1.0641 eV/atom

Cell and atoms, written as POSCAR:
```
Ge2CS2
1.0
6.723 0.000 0.000
0.000 6.723 0.000
0.000 0.000 3.802
S Ge C
4 4 2
direct
0.643 0.857 0.500
0.143 0.643 0.500
0.857 0.357 0.500
0.357 0.143 0.500
0.291 0.791 0.000
0.791 0.709 0.000
0.209 0.291 0.000
0.709 0.209 0.000
0.000 0.000 0.000
0.500 0.500 0.000
```

=====

The following is a DFT calculation (PBE) of a relaxed structure of GeC3S.

relative energy among the computed polymorphs: 0 meV per atom
spin magnetization: 0.00 μB per formula unit
ΔE_f (raw): 2.5349 eV/atom

Cell and atoms, written as POSCAR:
```
GeC3S
1.0
3.663 0.000 0.000
0.000 3.663 0.000
0.000 0.000 3.663
Ge C S
1 3 1
direct
0.500 0.500 0.500
0.000 0.500 0.000
0.000 0.000 0.500
0.500 0.000 0.000
0.000 0.000 0.000
```

=====

The following is a DFT calculation (PBE) of a relaxed structure of Ge2CS2.

relative energy among the computed polymorphs: 0 meV per atom
spin magnetization: 1.14 μB per formula unit
ΔE_f (raw): 0.8916 eV/atom

Cell and atoms, written as POSCAR:
```
Ge2CS2
1.0
5.104 0.000 0.000
0.000 5.104 0.000
2.552 2.552 3.412
S Ge C
2 2 1
direct
0.750 0.250 0.500
0.250 0.750 0.500
0.712 0.712 0.575
0.288 0.288 0.425
0.000 0.000 0.000
```

=====

The following is a DFT calculation (PBE) of a relaxed structure of GeC3S.

relative energy among the computed polymorphs: 374 meV per atom
spin magnetization: 0.69 μB per formula unit
ΔE_f (raw): 2.9088 eV/atom

Cell and atoms, written as POSCAR:
```
GeC3S
1.0
3.988 0.000 0.000
0.000 3.988 0.000
0.000 0.000 3.988
Ge S C
1 1 3
direct
0.000 0.000 0.000
0.500 0.500 0.500
0.500 0.000 0.000
0.000 0.500 0.000
0.000 0.000 0.500
```

=====

The following is a DFT calculation (PBE) of a relaxed structure of Ge2CS.

relative energy among the computed polymorphs: 0 meV per atom
spin magnetization: 0.00 μB per formula unit
ΔE_f (raw): 0.5741 eV/atom

Cell and atoms, written as POSCAR:
```
Ge2CS
1.0
-3.340 1.855 -4.290
1.472 -4.587 -3.129
-4.023 -3.398 -2.183
C Ge S
2 4 2
direct
0.250 0.750 0.500
0.500 0.500 0.000
0.557 0.125 0.250
0.193 0.625 0.250
0.875 0.807 0.750
0.375 0.443 0.750
0.000 0.000 0.000
0.750 0.250 0.500
```

=====

The following is a DFT calculation (PBE) of a relaxed structure of GeC2S.

relative energy among the computed polymorphs: 1041 meV per atom
spin magnetization: 0.00 μB per formula unit
ΔE_f (raw): 2.5132 eV/atom

Cell and atoms, written as POSCAR:
```
GeC2S
1.0
0.000 2.814 2.814
2.814 0.000 2.814
2.814 2.814 0.000
C Ge S
2 1 1
direct
0.750 0.750 0.750
0.250 0.250 0.250
0.500 0.500 0.500
0.000 0.000 0.000
```

=====

The following is a DFT calculation (PBE) of a relaxed structure of Ge2CS.

relative energy among the computed polymorphs: 786 meV per atom
spin magnetization: 0.00 μB per formula unit
ΔE_f (raw): 1.3597 eV/atom

Cell and atoms, written as POSCAR:
```
Ge2CS
1.0
0.000 3.108 3.108
3.108 0.000 3.108
3.108 3.108 0.000
C Ge S
1 2 1
direct
0.000 0.000 0.000
0.750 0.750 0.750
0.250 0.250 0.250
0.500 0.500 0.500
```

=====

The following is a DFT calculation (PBE) of a relaxed structure of Ge3CS.

relative energy among the computed polymorphs: 0 meV per atom
spin magnetization: 0.00 μB per formula unit
ΔE_f (raw): 0.9899 eV/atom

Cell and atoms, written as POSCAR:
```
Ge3CS
1.0
4.437 0.000 0.000
0.000 4.437 0.000
0.000 0.000 4.437
S Ge C
1 3 1
direct
0.500 0.500 0.500
0.000 0.000 0.500
0.500 0.000 0.000
0.000 0.500 0.000
0.000 0.000 0.000
```

=====

The following is a DFT calculation (PBE) of a relaxed structure of Sc6GeC2S3.

spin magnetization: 0.00 μB per formula unit
ΔE_f (raw): -1.2777 eV/atom

Cell and atoms, written as POSCAR:
```
Sc6GeC2S3
1.0
3.527 0.000 0.000
0.000 7.404 0.261
-1.764 -2.135 7.636
S Sc C Ge
3 6 2 1
direct
0.837 0.169 0.673
0.163 0.831 0.327
0.500 0.500 0.000
0.678 0.563 0.357
0.322 0.437 0.643
0.982 0.732 0.963
0.018 0.268 0.037
0.327 0.874 0.654
0.673 0.126 0.346
0.172 0.343 0.343
0.828 0.657 0.657
0.500 0.000 0.000
```

=====

The following is a DFT calculation (PBE) of a relaxed structure of Sm6GeC2S3.

spin magnetization: 0.00 μB per formula unit
ΔE_f (raw): -1.2222 eV/atom

Cell and atoms, written as POSCAR:
```
Sm6GeC2S3
1.0
-3.867 0.504 -0.064
-0.529 -3.114 7.458
3.025 8.288 1.382
Sm C S Ge
6 2 3 1
direct
0.013 0.263 0.026
0.329 0.884 0.659
0.676 0.564 0.352
0.324 0.436 0.648
0.671 0.116 0.341
0.987 0.737 0.974
0.829 0.660 0.658
0.171 0.340 0.342
0.500 0.500 0.000
0.164 0.831 0.328
0.836 0.169 0.672
0.500 0.000 0.000
```

=====

The following is a DFT calculation (PBE) of a relaxed structure of Sm4GeCS2.

spin magnetization: 0.00 μB per formula unit
ΔE_f (raw): -1.2329 eV/atom

Cell and atoms, written as POSCAR:
```
Sm4GeCS2
1.0
5.671 0.003 0.000
-0.003 5.671 0.000
-2.834 -2.837 5.727
C Sm S Ge
1 4 2 1
direct
0.750 0.250 0.500
0.524 0.024 0.047
0.751 0.751 0.503
0.249 0.249 0.497
0.976 0.476 0.953
0.250 0.750 0.500
0.000 0.000 0.000
0.500 0.500 0.000
```

=====

The following is a DFT calculation (PBE) of a relaxed structure of Tb4GeCS2.

spin magnetization: 0.00 μB per formula unit
ΔE_f (raw): -1.2732 eV/atom

Cell and atoms, written as POSCAR:
```
Tb4GeCS2
1.0
-4.655 -2.788 -1.209
1.689 -0.537 -5.269
4.035 -3.167 4.549
C Tb S Ge
1 4 2 1
direct
0.750 0.250 0.500
0.526 0.026 0.052
0.249 0.249 0.498
0.974 0.474 0.948
0.751 0.751 0.502
0.000 0.000 0.000
0.250 0.750 0.500
0.500 0.500 0.000
```